A relaxed HfZrCoMo crystal, computed with PBE.

The value obtained for the density is 10.284 g/cm3. As for the formation energy from the elements: -168 meV/atom.

It has space group F-43m (No. 216), with a = 6.497 Å, b = 6.497 Å, c = 6.497 Å, α = 90.00°, β = 90.00° and γ = 90.00°. The asymmetric unit holds Hf at (0.000, 0.000, 0.000), Zr at (0.000, 0.000, 0.500), Co at (0.250, 0.250, 0.250) and Mo at (0.250, 0.250, 0.750).

***

A relaxed Pm2Au17 crystal, computed with PBE.

The value obtained for the density is 15.762 g/cm3. As for the formation energy from the elements: -253 meV/atom.

It has space group R-3m (No. 166, hexagonal axes), with a = 9.6247 Å, b = 9.6247 Å, c = 14.3343 Å, α = 90.00°, β = 90.00° and γ = 120.00°. The asymmetric unit holds Pm at (0.0000, 0.0000, 0.1650), Au at (0.0000, 0.0000, 0.3970), Au at (0.0000, 0.3051, 0.5000), Au at (0.0000, 0.5000, 0.0000) and Au at (0.0108, 0.5054, 0.6486).

***

A relaxed Pm2Sm3UAs6 crystal, computed with PBE.

The value obtained for the density is 7.561 g/cm3. As for the formation energy from the elements: -1394 meV/atom.

It has space group C2/m (No. 12), with a = 18.260 Å, b = 4.189 Å, c = 8.424 Å, α = 90.00°, β = 103.17° and γ = 90.00°. The asymmetric unit holds Pm at (0.167, 0.000, 0.336), Sm at (0.000, 0.500, 0.500), Sm at (0.168, 0.000, 0.833), U at (0.000, 0.500, 0.000), As at (0.001, 0.000, 0.759), As at (0.163, 0.500, 0.081) and As at (0.166, 0.500, 0.585).

***

A relaxed GePtO3 crystal, computed with PBE.

The value obtained for the density is 9.985 g/cm3. The value obtained for the uncorrected formation energy is -0.2077 eV/atom.

It has space group Pm-3m (No. 221), with a = 3.745 Å, b = 3.745 Å, c = 3.745 Å, α = 90.00°, β = 90.00° and γ = 90.00°. The asymmetric unit holds Ge at (0.000, 0.000, 0.000), Pt at (0.500, 0.500, 0.500) and O at (0.000, 0.000, 0.500).

***

A relaxed LaCoSe2 crystal, computed with PBE.

The value obtained for the density is 4.340 g/cm3. Its energy above the most stable polymorph in this dataset is 295.0 meV per atom. The value obtained for the uncorrected formation energy is -0.7445 eV/atom.

It has space group R-3m (No. 166, hexagonal axes), with a = 4.5952 Å, b = 4.5952 Å, c = 22.3294 Å, α = 90.00°, β = 90.00° and γ = 120.00°. The asymmetric unit holds La at (0.0000, 0.0000, 0.0000), Co at (0.0000, 0.0000, 0.5000) and Se at (0.0000, 0.0000, 0.3982).

***

A relaxed SrLa2Sc crystal, computed with PBE.

The value obtained for the density is 4.639 g/cm3. Its energy above the most stable polymorph in this dataset is 51.1 meV per atom. As for the formation energy from the elements: 150 meV/atom.

It has space group P4mm (No. 99), with a = 3.766 Å, b = 3.766 Å, c = 10.358 Å, α = 90.00°, β = 90.00° and γ = 90.00°. The asymmetric unit holds Sr at (0.000, 0.000, 0.000), La at (0.000, 0.000, 0.542), La at (0.500, 0.500, 0.302) and Sc at (0.500, 0.500, 0.746).

***

A relaxed HoScCuIr crystal, computed with PBE.

The value obtained for the density is 10.355 g/cm3. As for the formation energy from the elements: -626 meV/atom.

It has space group F-43m (No. 216), with a = 6.685 Å, b = 6.685 Å, c = 6.685 Å, α = 90.00°, β = 90.00° and γ = 90.00°. The asymmetric unit holds Ho at (0.000, 0.000, 0.000), Sc at (0.000, 0.000, 0.500), Cu at (0.250, 0.250, 0.750) and Ir at (0.250, 0.250, 0.250).

***

A relaxed ZrCI2N crystal, computed with PBE.

The value obtained for the density is 4.425 g/cm3. Its energy above the most stable polymorph in this dataset is 0.0 meV per atom. The value obtained for the uncorrected formation energy is 1.1989 eV/atom.

It has space group P4/mmm (No. 123), with a = 5.895 Å, b = 5.895 Å, c = 4.006 Å, α = 90.00°, β = 90.00° and γ = 90.00°. The asymmetric unit holds Zr at (0.000, 0.000, 0.000), C at (0.500, 0.500, 0.500), I at (0.000, 0.500, 0.000) and N at (0.000, 0.000, 0.500).

***

A relaxed Zn2CdAs crystal, computed with PBE.

The value obtained for the density is 6.772 g/cm3. Its energy above the most stable polymorph in this dataset is 21.7 meV per atom. As for the formation energy from the elements: 97 meV/atom.

It has space group P2/m (No. 10), with a = 2.777 Å, b = 3.696 Å, c = 7.600 Å, α = 90.00°, β = 90.13° and γ = 90.00°. The asymmetric unit holds Zn at (0.003, 0.000, 0.254), Cd at (0.500, 0.500, 0.000) and As at (0.000, 0.500, 0.500).

***

A relaxed MnHPd3 crystal, computed with PBE.

The value obtained for the density is 9.526 g/cm3. Its energy above the most stable polymorph in this dataset is 244.9 meV per atom.

It has space group P6_3/mmc (No. 194), with a = 4.4067 Å, b = 4.4067 Å, c = 7.7783 Å, α = 90.00°, β = 90.00° and γ = 120.00°. The asymmetric unit holds Mn at (0.3333, 0.6667, 0.2500), H at (0.0000, 0.0000, 0.0000), Pd at (0.0000, 0.0000, 0.2500) and Pd at (0.3333, 0.6667, 0.5759).

***

A relaxed ZnPAu3 crystal, computed with PBE.

The value obtained for the density is 10.448 g/cm3. Its energy above the most stable polymorph in this dataset is 528.9 meV per atom. As for the formation energy from the elements: 821 meV/atom.

It has space group Pm-3m (No. 221), with a = 4.780 Å, b = 4.780 Å, c = 4.780 Å, α = 90.00°, β = 90.00° and γ = 90.00°. The asymmetric unit holds Zn at (0.000, 0.000, 0.000), P at (0.500, 0.500, 0.500) and Au at (0.000, 0.000, 0.500).

***

A relaxed RbCe4Cu3S12 crystal, computed with PBE.

The value obtained for the density is 4.209 g/cm3. The value obtained for the uncorrected formation energy is -1.0372 eV/atom.

It has space group Im-3 (No. 204), with a = 9.878 Å, b = 9.878 Å, c = 9.878 Å, α = 90.00°, β = 90.00° and γ = 90.00°. The asymmetric unit holds Rb at (0.000, 0.000, 0.000), Ce at (0.250, 0.250, 0.250), Cu at (0.000, 0.000, 0.500) and S at (0.000, 0.329, 0.158).

***

A relaxed DyYU2P4 crystal, computed with PBE.

The value obtained for the density is 7.969 g/cm3. As for the formation energy from the elements: -1298 meV/atom.

It has space group P2/m (No. 10), with a = 6.840 Å, b = 3.950 Å, c = 6.951 Å, α = 90.00°, β = 109.17° and γ = 90.00°. The asymmetric unit holds Dy at (0.000, 0.000, 0.000), Y at (0.500, 0.500, 0.000), U at (0.000, 0.500, 0.500), U at (0.500, 0.000, 0.500), P at (0.248, 0.000, 0.744) and P at (0.251, 0.500, 0.255).

***

A relaxed ZnCr2Tc crystal, computed with PBE.

The value obtained for the density is 8.528 g/cm3. As for the formation energy from the elements: 183 meV/atom.

It has space group Immm (No. 71), with a = 3.061 Å, b = 4.136 Å, c = 8.226 Å, α = 90.00°, β = 90.00° and γ = 90.00°. The asymmetric unit holds Zn at (0.000, 0.000, 0.000), Cr at (0.000, 0.500, 0.237) and Tc at (0.000, 0.000, 0.500).

***

A relaxed Ca2ZnI crystal, computed with PBE.

The value obtained for the density is 3.523 g/cm3. Its energy above the most stable polymorph in this dataset is 15.8 meV per atom. The value obtained for the uncorrected formation energy is -0.6048 eV/atom.

It has space group R3m (No. 160, hexagonal axes), with a = 4.1763 Å, b = 4.1763 Å, c = 25.5088 Å, α = 90.00°, β = 90.00° and γ = 120.00°. The asymmetric unit holds Ca at (0.0000, 0.0000, 0.0000), Ca at (0.0000, 0.0000, 0.1894), Zn at (0.0000, 0.0000, 0.5953) and I at (0.0000, 0.0000, 0.4263).

***

A relaxed K2BF6 crystal, computed with PBE.

The value obtained for the density is 2.375 g/cm3. Its energy above the most stable polymorph in this dataset is 0.0 meV per atom. The value obtained for the uncorrected formation energy is -2.6045 eV/atom.

It has space group P1 (No. 1), with a = 5.152 Å, b = 5.585 Å, c = 5.664 Å, α = 60.67°, β = 87.51° and γ = 90.00°. The asymmetric unit holds K at (0.000, 0.000, 0.000), K at (0.496, 0.696, 0.607), B at (0.430, 0.380, 0.238), F at (0.177, 0.432, 0.145), F at (0.436, 0.238, 0.523), F at (0.554, 0.221, 0.131), F at (0.564, 0.640, 0.132), F at (0.988, 0.536, 0.573) and F at (0.989, 0.895, 0.565).

***

A relaxed SrMg8Ir4 crystal, computed with PBE.

The value obtained for the density is 7.041 g/cm3. As for the formation energy from the elements: -307 meV/atom.

It has space group I4/mmm (No. 139), with a = 9.284 Å, b = 9.284 Å, c = 5.751 Å, α = 90.00°, β = 90.00° and γ = 90.00°. The asymmetric unit holds Sr at (0.000, 0.000, 0.000), Mg at (0.000, 0.228, 0.500), Mg at (0.000, 0.331, 0.000) and Ir at (0.250, 0.250, 0.250).

***

A relaxed LaNiW2 crystal, computed with PBE.

The value obtained for the density is 11.549 g/cm3. Its energy above the most stable polymorph in this dataset is 209.4 meV per atom. As for the formation energy from the elements: 516 meV/atom.

It has space group Cm (No. 8), with a = 8.495 Å, b = 3.290 Å, c = 6.036 Å, α = 90.00°, β = 105.52° and γ = 90.00°. The asymmetric unit holds La at (0.000, 0.000, 0.000), Ni at (0.244, 0.500, 0.326), W at (0.207, 0.000, 0.647) and W at (0.469, 0.000, 0.478).

***

A relaxed Tb4CeNd3S8 crystal, computed with PBE.

The value obtained for the density is 6.755 g/cm3. The value obtained for the uncorrected formation energy is -2.0244 eV/atom.

It has space group R-3m (No. 166, hexagonal axes), with a = 7.9528 Å, b = 7.9528 Å, c = 19.7267 Å, α = 90.00°, β = 90.00° and γ = 120.00°. The asymmetric unit holds Tb at (0.0000, 0.0000, 0.0000), Tb at (0.0000, 0.5000, 0.0000), Ce at (0.0000, 0.0000, 0.5000), Nd at (0.0000, 0.5000, 0.5000), S at (0.0000, 0.0000, 0.2545) and S at (0.0022, 0.5011, 0.2539).

***

A relaxed SrBe2ReI crystal, computed with PBE.

The value obtained for the density is 5.309 g/cm3. The value obtained for the uncorrected formation energy is 0.8212 eV/atom.

It has space group P4/mmm (No. 123), with a = 4.583 Å, b = 4.583 Å, c = 6.236 Å, α = 90.00°, β = 90.00° and γ = 90.00°. The asymmetric unit holds Sr at (0.000, 0.000, 0.000), Be at (0.000, 0.500, 0.500), Re at (0.000, 0.000, 0.500) and I at (0.500, 0.500, 0.000).

***

A relaxed MnOsBr6 crystal, computed with PBE.

The value obtained for the density is 4.700 g/cm3. The value obtained for the uncorrected formation energy is -0.2967 eV/atom.

It has space group C2/m (No. 12), with a = 6.589 Å, b = 12.636 Å, c = 6.585 Å, α = 90.00°, β = 110.98° and γ = 90.00°. The asymmetric unit holds Mn at (0.000, 0.000, 0.000), Os at (0.000, 0.500, 0.500), Br at (0.226, 0.500, 0.272) and Br at (0.245, 0.361, 0.744).

***

A relaxed NaBr2Cl crystal, computed with PBE.

The value obtained for the density is 2.687 g/cm3. Its energy above the most stable polymorph in this dataset is 346.4 meV per atom. The value obtained for the uncorrected formation energy is -0.3906 eV/atom.

It has space group I-42d (No. 122), with a = 5.526 Å, b = 5.526 Å, c = 17.668 Å, α = 90.00°, β = 90.00° and γ = 90.00°. The asymmetric unit holds Na at (0.000, 0.000, 0.000), Br at (0.223, 0.250, 0.625) and Cl at (0.000, 0.000, 0.500).

***

A relaxed URe2Tc crystal, computed with PBE.

The value obtained for the density is 17.767 g/cm3. Its energy above the most stable polymorph in this dataset is 70.6 meV per atom. As for the formation energy from the elements: 205 meV/atom.

It has space group R-3m (No. 166, hexagonal axes), with a = 2.7859 Å, b = 2.7859 Å, c = 29.5524 Å, α = 90.00°, β = 90.00° and γ = 120.00°. The asymmetric unit holds U at (0.0000, 0.0000, 0.0000), Re at (0.0000, 0.0000, 0.2408) and Tc at (0.0000, 0.0000, 0.5000).

***

A relaxed SrAl2Cu crystal, computed with PBE.

The value obtained for the density is 3.707 g/cm3. As for the formation energy from the elements: -94 meV/atom.

It has space group Cmmm (No. 65), with a = 5.426 Å, b = 7.806 Å, c = 4.339 Å, α = 90.00°, β = 90.00° and γ = 90.00°. The asymmetric unit holds Sr at (0.000, 0.000, 0.000), Al at (0.000, 0.332, 0.500) and Cu at (0.000, 0.500, 0.000).

***

A relaxed AlFe2Co crystal, computed with PBE.

The value obtained for the density is 6.882 g/cm3. As for the formation energy from the elements: -209 meV/atom.

It has space group P4/mmm (No. 123), with a = 3.549 Å, b = 3.549 Å, c = 3.785 Å, α = 90.00°, β = 90.00° and γ = 90.00°. The asymmetric unit holds Al at (0.000, 0.000, 0.000), Fe at (0.000, 0.500, 0.500) and Co at (0.500, 0.500, 0.000).